The following is a PBE-GGA calculation of a relaxed structure of ZrH2I2, from the Alexandria database.

The energy above the lowest structure with this stoichiometry is 2.54 eV/f.u. The energy comes out at -3.34 eV/atom.

a b c (Å): 6.4075 6.4075 4.5932
angles (deg): 90.00 90.00 90.00
Closest atoms and distances in Å follow each position.
Sites, in units of the cell vectors:
Zr: 0.0000 0.0000 0.0000  4 H 2.36
Zr: 0.5000 0.5000 0.0000  4 H 2.36
H: 0.1769 0.3231 0.0000  2 Zr 2.36
H: 0.3231 0.8231 0.0000  2 Zr 2.36
H: 0.6769 0.1769 0.0000  2 Zr 2.36
H: 0.8231 0.6769 0.0000  2 Zr 2.36
I: 0.1786 0.6786 0.5000  2 H 2.64
I: 0.3214 0.1786 0.5000  2 H 2.64
I: 0.6786 0.8214 0.5000  2 H 2.64
I: 0.8214 0.3214 0.5000  2 H 2.64